Entry 1:
A relaxed structure of Ce2Ga5Ni3, computed with PBE.

Cell lengths 5.6256, 8.3991, 8.3991 Å; angles 73.44, 70.43, 70.43 degrees
With the nearest neighbours (Å) after each atom.
Fractional coordinates of all 20 atoms:
Ce (0.1401, 0.5827, 0.1371)  4 Ni 3.06-3.28, 10 Ga 3.07-3.32
Ce (0.6401, 0.1371, 0.5827)  4 Ni 3.06-3.28, 10 Ga 3.07-3.32
Ce (0.8599, 0.4173, 0.8629)  4 Ni 3.06-3.28, 10 Ga 3.07-3.32
Ce (0.3599, 0.8629, 0.4173)  4 Ni 3.06-3.28, 10 Ga 3.07-3.32
Ga (0.4075, 0.2557, 0.9293)  3 Ni 2.42-2.44, 2 Ga 2.63
Ga (0.9075, 0.9293, 0.2557)  3 Ni 2.42-2.44, 2 Ga 2.63
Ga (0.5925, 0.7443, 0.0707)  3 Ni 2.42-2.44, 2 Ga 2.63
Ga (0.0925, 0.0707, 0.7443)  3 Ni 2.42-2.44, 2 Ga 2.63
Ga (0.4647, 0.7853, 0.7853)  3 Ni 2.48-2.63, 2 Ga 2.63
Ga (0.5353, 0.2147, 0.2147)  3 Ni 2.48-2.63, 2 Ga 2.63
Ga (0.7500, 0.5000, 0.5000)  4 Ni 2.46
Ga (0.2500, 0.5000, 0.5000)  4 Ni 2.46
Ga (0.0353, 0.2147, 0.2147)  3 Ni 2.48-2.63, 2 Ga 2.63
Ga (0.9647, 0.7853, 0.7853)  3 Ni 2.48-2.63, 2 Ga 2.63
Ni (0.3581, 0.5381, 0.7456)  5 Ga 2.42-2.48
Ni (0.8581, 0.7456, 0.5381)  5 Ga 2.42-2.48
Ni (0.6419, 0.4619, 0.2544)  5 Ga 2.42-2.48
Ni (0.1419, 0.2544, 0.4619)  5 Ga 2.42-2.48
Ni (0.2500, 0.0000, 0.0000)  6 Ga 2.44-2.63
Ni (0.7500, 0.0000, 0.0000)  6 Ga 2.44-2.63

Properties
Electronic total energy (eV/atom): -5.01
Total magnetization (μB/cell): 1.59
Theoretical density (g cm⁻³): 7.7
Energy relative to the lowest polymorph listed for this composition (eV/atom): 0.000
Formation energy (eV/f.u.): -5.76

Entry 2:
A relaxed structure of MgMnTc2C, computed with PBE.

Cell lengths 4.1137, 4.1137, 3.9458 Å; angles 90.00, 90.00, 90.00 degrees
With the nearest neighbours (Å) after each atom.
Fractional coordinates of all 5 atoms:
C (0.0000, 0.0000, 0.0000)  2 Mn 1.97, 4 Tc 2.06
Mg (0.5000, 0.5000, 0.5000)  8 Tc 2.85, 4 Mn 2.91
Mn (0.0000, 0.0000, 0.5000)  2 C 1.97
Tc (0.0000, 0.5000, 0.0000)  2 C 2.06
Tc (0.5000, 0.0000, 0.0000)  2 C 2.06

Properties
Electronic total energy (eV/atom): -8.05
Total magnetization (μB/cell): 2.46
Theoretical density (g cm⁻³): 7.1
Formation energy (eV/f.u.): 0.49

Entry 3:
A relaxed structure of NaSr6Mg3, computed with PBE.

Cell lengths 5.9841, 11.1799, 12.7956 Å; angles 100.17, 90.00, 90.00 degrees
With the nearest neighbours (Å) after each atom.
Fractional coordinates of all 20 atoms:
Na (0.2500, 0.9502, 0.5939)  10 Sr 3.94-4.19, 2 Na 4.11
Na (0.7500, 0.0498, 0.4061)  10 Sr 3.94-4.19, 2 Na 4.11
Sr (0.2500, 0.4616, 0.0973)  7 Mg 3.62-3.86, 1 Sr 4.00
Sr (0.7500, 0.5384, 0.9027)  7 Mg 3.62-3.86, 1 Sr 4.00
Sr (0.2500, 0.1516, 0.2124)  8 Sr 3.87-4.09, 2 Mg 4.11, 2 Na 4.17
Sr (0.7500, 0.8484, 0.7876)  8 Sr 3.87-4.09, 2 Mg 4.11, 2 Na 4.17
Sr (0.2500, 0.6234, 0.6856)  5 Mg 3.54-3.77
Sr (0.7500, 0.3766, 0.3144)  5 Mg 3.54-3.77
Sr (0.2500, 0.2811, 0.5278)  4 Mg 3.58-3.66, 1 Na 3.94, 1 Sr 4.00
Sr (0.7500, 0.7189, 0.4722)  4 Mg 3.58-3.66, 1 Na 3.94, 1 Sr 4.00
Sr (0.2500, 0.8055, 0.2759)  4 Mg 3.60-3.76
Sr (0.7500, 0.1945, 0.7241)  4 Mg 3.60-3.76
Sr (0.2500, 0.0775, 0.9056)  4 Mg 3.59-3.88, 1 Sr 3.87, 1 Na 3.99
Sr (0.7500, 0.9225, 0.0944)  4 Mg 3.59-3.88, 1 Sr 3.87, 1 Na 3.99
Mg (0.2500, 0.5363, 0.3940)  8 Sr 3.54-3.74
Mg (0.7500, 0.4637, 0.6060)  8 Sr 3.54-3.74
Mg (0.2500, 0.3621, 0.8125)  8 Sr 3.58-3.66
Mg (0.7500, 0.6379, 0.1875)  8 Sr 3.58-3.66
Mg (0.2500, 0.7547, 0.9778)  10 Sr 3.70-4.11
Mg (0.7500, 0.2453, 0.0222)  10 Sr 3.70-4.11

Properties
Electronic total energy (eV/atom): -1.63
Total magnetization (μB/cell): 0.00
Theoretical density (g cm⁻³): 2.5
Formation energy (eV/f.u.): -0.06

Entry 4:
A relaxed structure of Nd3As3Pt2, computed with PBE.

Cell lengths 4.3610, 5.9219, 14.8700 Å; angles 90.00, 90.00, 111.61 degrees
With the nearest neighbours (Å) after each atom.
Fractional coordinates of all 16 atoms:
Nd (0.9200, 0.8400, 0.3948)  4 Pt 3.12-3.48, 7 As 3.14-3.33
Nd (0.0800, 0.1600, 0.8948)  4 Pt 3.12-3.48, 7 As 3.14-3.33
Nd (0.9200, 0.8400, 0.1052)  4 Pt 3.12-3.48, 7 As 3.14-3.33
Nd (0.0800, 0.1600, 0.6052)  4 Pt 3.12-3.48, 7 As 3.14-3.33
Nd (0.6429, 0.2857, 0.2500)  5 As 3.03-3.23, 4 Pt 3.17
Nd (0.3571, 0.7143, 0.7500)  5 As 3.03-3.23, 4 Pt 3.17
As (0.6280, 0.2559, 0.4535)  3 Pt 2.55-2.84
As (0.3720, 0.7441, 0.9535)  3 Pt 2.55-2.84
As (0.6280, 0.2559, 0.0465)  3 Pt 2.55-2.84
As (0.3720, 0.7441, 0.5465)  3 Pt 2.55-2.84
As (0.3588, 0.7176, 0.2500)  2 Pt 2.65
As (0.6412, 0.2824, 0.7500)  2 Pt 2.65
Pt (0.7830, 0.5660, 0.8942)  4 As 2.55-2.84
Pt (0.2170, 0.4340, 0.3942)  4 As 2.55-2.84
Pt (0.7830, 0.5660, 0.6058)  4 As 2.55-2.84
Pt (0.2170, 0.4340, 0.1058)  4 As 2.55-2.84

Properties
Electronic total energy (eV/atom): -6.18
Total magnetization (μB/cell): 0.00
Theoretical density (g cm⁻³): 9.7
Formation energy (eV/f.u.): -9.12

Entry 5:
A relaxed structure of Tb8Pr3Tm2, computed with PBE.

Cell lengths 6.2035, 9.4935, 9.4825 Å; angles 130.04, 96.18, 90.15 degrees
With the nearest neighbours (Å) after each atom.
Fractional coordinates of all 13 atoms:
Tb (0.8823, 0.7719, 0.3097)  7 Tb 3.54-3.61, 3 Tm 3.55-3.59, 2 Pr 3.58-3.59
Tb (0.1177, 0.2281, 0.6903)  7 Tb 3.54-3.61, 3 Tm 3.55-3.59, 2 Pr 3.58-3.59
Tb (0.0391, 0.0784, 0.2348)  6 Tb 3.54-3.64, 2 Tm 3.56-3.58, 4 Pr 3.60-3.62
Tb (0.9609, 0.9216, 0.7652)  6 Tb 3.54-3.64, 2 Tm 3.56-3.58, 4 Pr 3.60-3.62
Tb (0.2707, 0.5365, 0.6134)  6 Tb 3.55-3.61, 4 Pr 3.58-3.60, 2 Tm 3.59-3.60
Tb (0.6526, 0.3057, 0.9200)  2 Tm 3.56, 6 Tb 3.56-3.61, 4 Pr 3.57-3.60
Tb (0.3474, 0.6943, 0.0800)  2 Tm 3.56, 6 Tb 3.56-3.61, 4 Pr 3.57-3.60
Tb (0.7293, 0.4635, 0.3866)  6 Tb 3.55-3.61, 4 Pr 3.58-3.60, 2 Tm 3.59-3.60
Pr (0.5000, 0.0000, 0.0000)  8 Tb 3.59-3.60, 2 Tm 3.59, 2 Pr 3.62
Pr (0.1893, 0.3869, 0.1538)  10 Tb 3.57-3.62, 1 Tm 3.58, 1 Pr 3.62
Pr (0.8107, 0.6131, 0.8462)  10 Tb 3.57-3.62, 1 Tm 3.58, 1 Pr 3.62
Tm (0.5777, 0.1520, 0.4616)  9 Tb 3.55-3.60, 1 Tm 3.56, 2 Pr 3.58-3.59
Tm (0.4223, 0.8480, 0.5384)  9 Tb 3.55-3.60, 1 Tm 3.56, 2 Pr 3.58-3.59

Properties
Electronic total energy (eV/atom): -4.62
Total magnetization (μB/cell): 0.00
Theoretical density (g cm⁻³): 8.0
Energy relative to the lowest polymorph listed for this composition (eV/atom): 0.000
Formation energy (eV/f.u.): 0.25

Entry 6:
A relaxed structure of LaPrMg2, computed with PBE.

Cell lengths 5.5684, 5.5684, 5.5684 Å; angles 60.00, 60.00, 60.00 degrees
With the nearest neighbours (Å) after each atom.
Fractional coordinates of all 4 atoms:
Pr (0.0000, 0.0000, 0.0000)  8 Mg 3.41
Mg (0.2500, 0.2500, 0.2500)  4 La 3.41, 4 Pr 3.41
Mg (0.7500, 0.7500, 0.7500)  4 La 3.41, 4 Pr 3.41
La (0.5000, 0.5000, 0.5000)  8 Mg 3.41

Properties
Electronic total energy (eV/atom): -3.35
Total magnetization (μB/cell): 0.00
Theoretical density (g cm⁻³): 4.5
Energy relative to the lowest polymorph listed for this composition (eV/atom): 0.000
Formation energy (eV/f.u.): -0.49

Entry 7:
A relaxed structure of LiThIn4O8, computed with PBE.

Cell lengths 6.6802, 6.6802, 6.5399 Å; angles 59.29, 59.29, 60.00 degrees
With the nearest neighbours (Å) after each atom.
Fractional coordinates of all 14 atoms:
Li (0.0041, 0.0041, 0.9878)  6 O 2.18-2.42
Th (0.3867, 0.3867, 0.8400)  4 O 2.21-2.28
In (0.6216, 0.6216, 0.1352)  4 O 2.16-2.17
In (0.0002, 0.5040, 0.4956)  6 O 2.19-2.27
In (0.5040, 0.0002, 0.4956)  6 O 2.19-2.27
In (0.0002, 0.0002, 0.4956)  6 O 2.19-2.27
O (0.2373, 0.7907, 0.7347)  1 Li 2.18, 1 Th 2.21, 2 In 2.23
O (0.7907, 0.2373, 0.7347)  1 Li 2.18, 1 Th 2.21, 2 In 2.23
O (0.2373, 0.2373, 0.7347)  1 Li 2.18, 1 Th 2.21, 2 In 2.23
O (0.2427, 0.2427, 0.2720)  3 In 2.27, 1 Th 2.28
O (0.7462, 0.2246, 0.2830)  3 In 2.16-2.19, 1 Li 2.42
O (0.2246, 0.7462, 0.2830)  3 In 2.16-2.19, 1 Li 2.42
O (0.7462, 0.7462, 0.2830)  3 In 2.16-2.19, 1 Li 2.42
O (0.7584, 0.7584, 0.7249)  4 In 2.17-2.26

Properties
Electronic total energy (eV/atom): -6.20
Total magnetization (μB/cell): 0.00
Theoretical density (g cm⁻³): 6.7

Entry 8:
A relaxed structure of KV2BiPd, computed with PBE.

Cell lengths 5.2324, 6.2544, 5.2324 Å; angles 90.00, 90.00, 90.00 degrees
With the nearest neighbours (Å) after each atom.
Fractional coordinates of all 5 atoms:
K (0.0000, 0.5000, 0.0000)  2 Bi 3.13
Bi (0.0000, 0.0000, 0.0000)  4 V 2.62
Pd (0.5000, 0.5000, 0.5000)  4 K 3.70, 8 V 4.08
V (0.0000, 0.0000, 0.5000)  2 Bi 2.62
V (0.5000, 0.0000, 0.0000)  2 Bi 2.62

Properties
Electronic total energy (eV/atom): -4.37
Total magnetization (μB/cell): 6.00
Theoretical density (g cm⁻³): 4.4
Formation energy (eV/f.u.): 6.56